{
  "formula": "Zn2AgMoI",
  "functional": "PBEsol",
  "state": "relaxed",
  "lattice": [[5.219, 0.000, 0.000], [0.000, 5.219, 0.000], [0.000, 0.000, 5.214]],
  "species": ["Zn", "Zn", "Ag", "Mo", "I"],
  "fractional_positions": [[0.000, 0.500, 0.000], [0.500, 0.000, 0.000], [0.000, 0.000, 0.500], [0.500, 0.500, 0.500], [0.000, 0.000, 0.000]],
  "space_group": "P4/mmm, No. 123",
  "magnetic_moment_mub_per_cell": 4.6,
  "e_form_raw_kj_per_mol_fu": 879
}